# BeP2Cl

A crystal of BeP2Cl relaxed with PBEsol (meta-GGA SCAN, the Alexandria database).

ΔE to the lowest computed polymorph: 698 meV per atom
Formation energy from raw total energies: 0.95 eV/atom
Fermi-level density of states: 1.7 states/eV/f.u.
Raw total energy: -0.539 Ry per atom
Crystal system: tetragonal

a = 4.5861 Å, b = 4.5861 Å, c = 2.7172 Å
α = 90.00°, β = 90.00°, γ = 90.00°
Atoms (fractional coordinates):
1 Be 0.0000 0.0000 0.0000
2 P 0.0000 0.5000 0.5000
3 P 0.5000 0.0000 0.5000
4 Cl 0.5000 0.5000 0.0000

---

# Sr2CaMnTc

A crystal of Sr2CaMnTc relaxed with PBEsol (meta-GGA SCAN, the Alexandria database).

Fermi-level density of states: 3.3 states/eV/f.u.
Raw total energy: -1.498 Ry per atom
Crystal system: tetragonal

a = 5.6041 Å, b = 5.6041 Å, c = 5.3598 Å
α = 90.00°, β = 90.00°, γ = 90.00°
Atoms (fractional coordinates):
1 Sr 0.0000 0.5000 0.0000
2 Sr 0.5000 0.0000 0.0000
3 Ca 0.0000 0.0000 0.5000
4 Mn 0.0000 0.0000 0.0000
5 Tc 0.5000 0.5000 0.5000

---

# Ca2CdHg2

A crystal of Ca2CdHg2 relaxed with PBEsol (meta-GGA SCAN, the Alexandria database).

Fermi-level density of states: 2.8 states/eV/f.u.
Raw total energy: -2.778 Ry per atom
Crystal system: tetragonal

a = 7.9932 Å, b = 7.9932 Å, c = 4.0512 Å
α = 90.00°, β = 90.00°, γ = 90.00°
Atoms (fractional coordinates):
1 Ca 0.1683 0.3317 0.0000
2 Ca 0.3317 0.8317 0.0000
3 Ca 0.6683 0.1683 0.0000
4 Ca 0.8317 0.6683 0.0000
5 Cd 0.0000 0.0000 0.5000
6 Cd 0.5000 0.5000 0.5000
7 Hg 0.1331 0.6331 0.5000
8 Hg 0.3669 0.1331 0.5000
9 Hg 0.6331 0.8669 0.5000
10 Hg 0.8669 0.3669 0.5000

---

# BaMoNF2

A crystal of BaMoNF2 relaxed with PBEsol (meta-GGA SCAN, the Alexandria database).

Formation energy from raw total energies: -1.85 eV/atom
Fermi-level density of states: 2.4 states/eV/f.u.
Raw total energy: -1.470 Ry per atom
Crystal system: tetragonal

a = 4.2921 Å, b = 4.2921 Å, c = 3.9569 Å
α = 90.00°, β = 90.00°, γ = 90.00°
Atoms (fractional coordinates):
1 Ba 0.0000 0.0000 0.0000
2 Mo 0.5000 0.5000 0.5000
3 N 0.5000 0.5000 0.0000
4 F 0.0000 0.5000 0.5000
5 F 0.5000 0.0000 0.5000

---

no.,size of the total moment (μB/atom)
1,0.010
2,1.325
3,0.000
4,0.000